Here is a relaxed structure of Li2Ag2Ge from Alexandria via LeMat-Bulk. Energies are from PBE-GGA.

Geometry as extended XYZ:
```
5
Lattice="-1.816 1.816 6.863 1.816 -1.816 6.863 1.816 1.816 -6.863" Properties=species:S:1:pos:R:3 pbc="T T T"
Li 1.816 0.000 3.432
Li 0.000 1.816 3.432
Ag 0.000 0.000 1.406
Ag 0.000 0.000 12.320
Ge 0.000 0.000 6.863
```

As for the total DFT energy (no corrections): -13.52 eV per cell. As for the space group: I4/mmm. The value obtained for the offset from the most stable computed form is 358 meV/atom. The total moment is 0.00 μB per cell. For the energy of formation, the calculation gives 12.0 kJ/mol of atoms.


Here is a relaxed structure of AcMgPbAu from Alexandria via LeMat-Bulk. Energies are from PBE-GGA.

Geometry as extended XYZ:
```
4
Lattice="0.000 3.823 3.823 3.823 0.000 3.823 3.823 3.823 0.000" Properties=species:S:1:pos:R:3 pbc="T T T"
Ac 0.000 0.000 0.000
Mg 3.823 3.823 3.823
Pb 5.734 5.734 5.734
Au 1.911 1.911 1.911
```

As for the total DFT energy (no corrections): -14.67 eV per cell. As for the space group: F-43m. The total moment is 0.00 μB per cell. For the energy of formation, the calculation gives -47.8 kJ/mol of atoms.


Here is a relaxed structure of PmU2Tc3 from Alexandria via LeMat-Bulk. Energies are from PBE-GGA.

Geometry as extended XYZ:
```
6
Lattice="6.046 0.000 0.000 -3.023 5.236 0.000 0.000 0.000 4.001" Properties=species:S:1:pos:R:3 pbc="T T T"
Pm 0.000 0.000 0.000
U 0.000 3.491 0.000
U 3.023 1.745 0.000
Tc -1.512 2.618 2.000
Tc 3.023 0.000 2.000
Tc 1.512 2.618 2.000
```

As for the total DFT energy (no corrections): -59.13 eV per cell. As for the space group: P6/mmm. The total moment is 0.00 μB per cell. For the energy of formation, the calculation gives -11.3 kJ/mol of atoms.